[1]
The following is a DFT calculation (meta-GGA SCAN) of a PBEsol-optimized structure of Cd2InPb.

Geometry as POSCAR:
```
Cd2InPb
1.0
-2.256 2.382 4.554
2.256 -2.382 4.554
2.256 2.382 -4.554
Cd In Pb
2 1 1
Cartesian
0.000 0.000 2.248
0.000 0.000 6.860
2.256 0.000 0.000
0.000 2.382 0.000
```

Summary:
E_form = 0.3 eV per formula unit
E_tot = -42.417 eV per atom
E above lowest polymorph = 0.019 eV/atom


[2]
The following is a DFT calculation (meta-GGA SCAN) of a PBEsol-optimized structure of LiCuS.

Geometry as POSCAR:
```
LiCuS
1.0
0.000 4.219 5.502
4.181 0.000 5.502
4.181 4.219 0.000
Li Cu S
4 4 4
Cartesian
3.136 3.164 0.156
5.226 5.274 2.907
3.136 3.164 8.096
5.226 5.274 10.847
4.181 2.110 2.751
2.090 4.219 2.751
2.090 2.110 5.502
4.181 4.219 5.502
3.136 0.851 4.126
5.226 2.961 6.877
3.136 5.478 4.126
5.226 7.587 6.877
```

Summary:
E_form (uncorrected) = -19.16 kcal/mol of atoms
E_tot = -9.903 eV per atom


[3]
The following is a DFT calculation (meta-GGA SCAN) of a PBEsol-optimized structure of KScCd2.

Geometry as POSCAR:
```
KScCd2
1.0
3.287 0.000 0.000
0.000 5.423 0.000
0.000 0.000 5.589
K Sc Cd
1 1 2
Cartesian
0.000 0.000 0.000
0.000 2.711 3.188
1.644 0.000 2.791
1.644 2.711 0.581
```

Summary:
E_form = -0.2 eV per formula unit
E_tot = -20.895 eV per atom
E above lowest polymorph = 0.000 eV/atom


[4]
The following is a DFT calculation (meta-GGA SCAN) of a PBEsol-optimized structure of CsBIr3.

Geometry as POSCAR:
```
CsBIr3
1.0
4.317 0.000 0.000
0.000 4.317 0.000
0.000 0.000 4.317
Cs B Ir
1 1 3
Cartesian
0.000 0.000 0.000
2.158 2.158 2.158
0.000 2.158 2.158
2.158 0.000 2.158
2.158 2.158 0.000
```

Summary:
E_form = 5.5 eV per formula unit
E_tot = -50.598 eV per atom


[5]
The following is a DFT calculation (meta-GGA SCAN) of a PBEsol-optimized structure of SbMo2P.

Geometry as POSCAR:
```
SbMo2P
1.0
4.372 -1.611 0.000
4.372 1.611 0.000
-1.442 0.000 4.730
Sb Mo P
1 2 1
Cartesian
0.000 0.000 0.000
3.782 0.000 2.595
6.295 0.000 1.076
1.310 0.000 2.758
```

Summary:
E_form (uncorrected) = -0.28 kcal/mol of atoms
E_tot = -29.369 eV per atom
E above lowest polymorph = 0.000 eV/atom


[6]
The following is a DFT calculation (meta-GGA SCAN) of a PBEsol-optimized structure of BaLaBe.

Geometry as POSCAR:
```
BaLaBe
1.0
3.794 0.000 0.000
-1.897 3.286 0.000
0.000 0.000 7.935
Ba La Be
1 1 1
Cartesian
0.000 0.000 0.000
0.000 2.191 3.665
1.897 1.095 5.605
```

Summary:
E_form = 1.5 eV per formula unit
E_tot = -28.510 eV per atom


[7]
The following is a DFT calculation (meta-GGA SCAN) of a PBEsol-optimized structure of TaBeTl3.

Geometry as POSCAR:
```
TaBeTl3
1.0
5.421 0.000 0.000
0.000 5.421 0.000
0.000 0.000 5.421
Ta Be Tl
1 1 3
Cartesian
0.000 0.000 0.000
2.710 2.710 2.710
0.000 0.000 2.710
0.000 2.710 0.000
2.710 0.000 0.000
```

Summary:
E_form = 6.2 eV per formula unit
E_tot = -56.372 eV per atom


[8]
The following is a DFT calculation (meta-GGA SCAN) of a PBEsol-optimized structure of Nb10C7.

Geometry as POSCAR:
```
Nb10C7
1.0
2.727 -7.802 0.000
2.727 7.802 0.000
-1.833 0.000 5.150
Nb C
10 7
Cartesian
0.971 3.060 1.196
0.000 1.595 3.818
0.809 0.000 1.356
0.000 -1.595 3.818
0.971 -3.060 1.196
2.649 3.060 3.954
3.620 1.595 1.332
2.811 0.000 3.793
3.620 -1.595 1.332
2.649 -3.060 3.954
-0.916 0.000 2.575
2.727 6.227 0.000
2.727 3.116 0.000
1.810 1.573 2.575
1.810 -1.573 2.575
2.727 -3.116 0.000
2.727 -6.227 0.000
```

Summary:
E_form = -8.8 eV per formula unit
E_tot = -24.165 eV per atom